The following is a DFT calculation (SCAN) of a PBEsol-optimized structure of MgGa2.

For the total moment, the calculation gives 0.0 μB per formula unit. Its density of states at the Fermi level is 2.8 states/eV per cell. As for the formation energy: 0.3555 eV per atom. The volume is 146.85 Å³ per cell.

It has space group P4_2/mnm (No. 136), with a = 5.386 Å, b = 5.386 Å, c = 5.062 Å, α = 90.00°, β = 90.00° and γ = 90.00°. The inequivalent atoms are Mg at (0.000, 0.000, 0.000) and Ga at (0.162, 0.162, 0.500).